Density functional theory data (PBE) for crystalline Na2SrCd2 at its relaxed geometry.

Formation energy ... -164 meV per atom
VASP energy ... -1.39 eV/atom
D(E_F) ... 1.76 states/eV/f.u.
Size of the total moment ... 0.00 μB/f.u.

Geometry as CIF:
```
data_Na2SrCd2
_space_group_name_H-M_alt 'C 1 2/m 1'
_space_group_IT_number 12
_cell_length_a 29.7247
_cell_length_b 4.9638
_cell_length_c 4.4324
_cell_angle_alpha 90.00
_cell_angle_beta 98.24
_cell_angle_gamma 90.00
loop_
_space_group_symop_operation_xyz
'x,y,z'
'-x,-y,-z'
'-x,y,-z'
'x,-y,z'
'x+1/2,y+1/2,z'
'-x+1/2,-y+1/2,-z'
'-x+1/2,y+1/2,-z'
'x+1/2,-y+1/2,z'
loop_
_atom_site_label
_atom_site_type_symbol
_atom_site_fract_x
_atom_site_fract_y
_atom_site_fract_z
Na1 Na 0.0485 0.0000 0.2991
Na2 Na 0.0557 0.5000 0.8062
Sr1 Sr 0.1763 0.5000 0.4263
Cd1 Cd 0.1264 0.0000 0.8756
Cd2 Cd 0.2254 0.0000 0.9730
```